(1)
Computed, not measured: a relaxed Pu2Pt2Rh crystal at the PBE-GGA level of DFT.

a = 4.603 Å, b = 5.417 Å, c = 8.323 Å
α = 90.00°, β = 90.00°, γ = 90.00°
Sites, in units of the cell vectors:
Pu 0.000 0.000 0.191
Pu 0.000 0.000 0.809
Pu 0.500 0.500 0.309
Pu 0.500 0.500 0.691
Pt 0.000 0.257 0.500
Pt 0.000 0.743 0.500
Pt 0.500 0.243 0.000
Pt 0.500 0.757 0.000
Rh 0.000 0.500 0.000
Rh 0.500 0.000 0.500

The density of states at the Fermi level comes out at 17.03 states/eV/f.u. As for the total energy: -10.279 eV/atom. The total magnetization is 2.132 μB per atom.

=====

(2)
Computed, not measured: a relaxed PuPtRh4 crystal at the PBE-GGA level of DFT.

a = 5.207 Å, b = 5.207 Å, c = 5.207 Å
α = 60.00°, β = 60.00°, γ = 60.00°
Sites, in units of the cell vectors:
Pu 0.000 0.000 0.000
Pt 0.750 0.750 0.750
Rh 0.376 0.376 0.376
Rh 0.376 0.376 0.873
Rh 0.376 0.873 0.376
Rh 0.873 0.376 0.376

The density of states at the Fermi level comes out at 10.12 states/eV/f.u. As for the total energy: -8.491 eV/atom. The total magnetization is 0.542 μB per atom.

=====

(3)
Computed, not measured: a relaxed Pu6Pt3Rh crystal at the PBE-GGA level of DFT.

a = 5.546 Å, b = 7.767 Å, c = 12.089 Å
α = 90.00°, β = 114.32°, γ = 90.00°
Sites, in units of the cell vectors:
Pu 0.002 0.159 0.072
Pu 0.002 0.341 0.572
Pu 0.338 0.155 0.412
Pu 0.338 0.345 0.912
Pu 0.354 0.522 0.245
Pu 0.354 0.978 0.745
Pu 0.646 0.022 0.255
Pu 0.646 0.478 0.755
Pu 0.662 0.655 0.088
Pu 0.662 0.845 0.588
Pu 0.998 0.659 0.428
Pu 0.998 0.841 0.928
Pt 0.130 0.637 0.745
Pt 0.130 0.863 0.245
Pt 0.500 0.000 0.000
Pt 0.500 0.500 0.500
Pt 0.870 0.137 0.755
Pt 0.870 0.363 0.255
Rh 0.000 0.000 0.500
Rh 0.000 0.500 0.000

The density of states at the Fermi level comes out at 46.60 states/eV/f.u. As for the total energy: -11.603 eV/atom. The total magnetization is 1.113 μB per atom.

=====

(4)
Computed, not measured: a relaxed Pu12Pt6Rh crystal at the PBE-GGA level of DFT.

a = 7.401 Å, b = 7.401 Å, c = 7.401 Å
α = 93.80°, β = 93.80°, γ = 93.80°
Sites, in units of the cell vectors:
Pu 0.040 0.321 0.926
Pu 0.074 0.960 0.679
Pu 0.114 0.357 0.434
Pu 0.321 0.926 0.040
Pu 0.357 0.434 0.114
Pu 0.434 0.114 0.357
Pu 0.566 0.886 0.643
Pu 0.643 0.566 0.886
Pu 0.679 0.074 0.960
Pu 0.886 0.643 0.566
Pu 0.926 0.040 0.321
Pu 0.960 0.679 0.074
Pt 0.234 0.742 0.383
Pt 0.258 0.617 0.766
Pt 0.383 0.234 0.742
Pt 0.617 0.766 0.258
Pt 0.742 0.383 0.234
Pt 0.766 0.258 0.617
Rh 0.500 0.500 0.500

The density of states at the Fermi level comes out at 70.33 states/eV/f.u. As for the total energy: -11.792 eV/atom. The total magnetization is 0.028 μB per atom.

=====

- What is the formula in the fourth record?
  Pu12Pt6Rh

=====

What did the fourth record say?
Computed, not measured: a relaxed Pu12Pt6Rh crystal at the PBE-GGA level of DFT.

a = 7.401 Å, b = 7.401 Å, c = 7.401 Å
α = 93.80°, β = 93.80°, γ = 93.80°
Sites, in units of the cell vectors:
Pu 0.040 0.321 0.926
Pu 0.074 0.960 0.679
Pu 0.114 0.357 0.434
Pu 0.321 0.926 0.040
Pu 0.357 0.434 0.114
Pu 0.434 0.114 0.357
Pu 0.566 0.886 0.643
Pu 0.643 0.566 0.886
Pu 0.679 0.074 0.960
Pu 0.886 0.643 0.566
Pu 0.926 0.040 0.321
Pu 0.960 0.679 0.074
Pt 0.234 0.742 0.383
Pt 0.258 0.617 0.766
Pt 0.383 0.234 0.742
Pt 0.617 0.766 0.258
Pt 0.742 0.383 0.234
Pt 0.766 0.258 0.617
Rh 0.500 0.500 0.500

The density of states at the Fermi level comes out at 70.33 states/eV/f.u. As for the total energy: -11.792 eV/atom. The total magnetization is 0.028 μB per atom.